No. 1
Computed, not measured: crystalline Y2FeF at its relaxed geometry at the PBE+U level of DFT.

Cell: 6.1531 6.1531 6.1531 Å, 111.39 111.39 105.70°
Last column: nearest neighbours and their distance in Å.
Fractional coordinates of all 8 atoms:
1 Y 0.0505 0.6250 0.9255  2 F 2.31
2 Y 0.3750 0.3005 0.4255  2 F 2.31
3 Y 0.6995 0.1250 0.0745  2 F 2.31
4 Y 0.8750 0.9495 0.5745  2 F 2.31
5 Fe 0.2500 0.7500 0.5000  4 Y 2.99
6 Fe 0.5000 0.5000 0.0000  4 Y 2.99
7 F 0.0000 0.0000 0.0000  4 Y 2.31
8 F 0.7500 0.2500 0.5000  4 Y 2.31

The value obtained for the offset from the most stable computed form is 0.0 kJ per mole of atoms. The uncorrected energy is -46.70 eV for the cell shown. Its symmetry is I-42d (122).

No. 2
Computed, not measured: crystalline YFe3F at its relaxed geometry at the PBE+U level of DFT.

Cell: 4.5949 4.5949 4.5949 Å, 90.00 90.00 90.00°
Last column: nearest neighbours and their distance in Å.
Fractional coordinates of all 5 atoms:
1 Y 0.0000 0.0000 0.0000  12 Fe 3.25
2 Fe 0.0000 0.5000 0.5000  2 F 2.30
3 Fe 0.5000 0.0000 0.5000  2 F 2.30
4 Fe 0.5000 0.5000 0.0000  2 F 2.30
5 F 0.5000 0.5000 0.5000  6 Fe 2.30

The value obtained for the offset from the most stable computed form is 0.0 kJ per mole of atoms. The uncorrected energy is -24.66 eV for the cell shown. Its symmetry is Pm-3m (221).